Entry 1:
Ba2Li3Bi5: optimized geometry, PBE.

formation enthalpy at 0 K: -0.557 eV per atom

Cell: 7.3316 9.9925 9.9925 Å, 90.67 68.55 68.55°
With the nearest neighbours (Å) after each atom.
Fractional positions:
1 Bi 0.8413 0.2619 0.0524  3 Li 2.82-3.03
2 Bi 0.3413 0.0524 0.2619  3 Li 2.82-3.03
3 Bi 0.7500 0.2387 0.7613  2 Li 2.95, 2 Bi 3.24
4 Bi 0.7500 0.4996 0.5004  4 Li 2.90
5 Bi 0.2500 0.5004 0.4996  4 Li 2.90
6 Bi 0.2500 0.7613 0.2387  2 Li 2.95, 2 Bi 3.24
7 Bi 0.7500 0.7624 0.2376  2 Li 2.95, 2 Bi 3.25
8 Bi 0.1587 0.7381 0.9476  3 Li 2.82-3.03
9 Bi 0.2500 0.2376 0.7624  2 Li 2.95, 2 Bi 3.25
10 Bi 0.6587 0.9476 0.7381  3 Li 2.82-3.03
11 Ba 0.2443 0.3877 0.1230  10 Bi 3.57-3.94, 1 Li 3.82
12 Ba 0.7443 0.1230 0.3877  10 Bi 3.57-3.94, 1 Li 3.82
13 Ba 0.2557 0.8770 0.6123  10 Bi 3.57-3.94, 1 Li 3.82
14 Ba 0.7557 0.6123 0.8770  10 Bi 3.57-3.94, 1 Li 3.82
15 Li 0.8899 0.7381 0.4811  5 Bi 2.82-2.95
16 Li 0.7500 0.9993 0.0007  5 Bi 3.02-3.37
17 Li 0.1101 0.2619 0.5189  5 Bi 2.82-2.95
18 Li 0.6101 0.5189 0.2619  5 Bi 2.82-2.95
19 Li 0.2500 0.0007 0.9993  5 Bi 3.02-3.37
20 Li 0.3899 0.4811 0.7381  5 Bi 2.82-2.95



Entry 2:
Cs3Pr3TaO8: optimized geometry, PBE.

Cell: 7.1733 7.1747 8.2403 Å, 115.82 90.00 120.01°
With the nearest neighbours (Å) after each atom.
Fractional positions:
1 Pr 0.5000 0.5000 0.5000  6 O 2.39-2.49
2 Pr 0.5000 0.0000 0.5000  6 O 2.39-2.49
3 Pr 0.0000 0.5000 0.5000  6 O 2.39-2.49
4 O 0.7687 0.9594 0.6499  1 Ta 2.05
5 O 0.1907 0.9594 0.6500  1 Ta 2.05
6 O 0.1907 0.3813 0.6499  1 Ta 2.05
7 O 0.8093 0.0406 0.3500  1 Ta 2.05
8 O 0.7230 0.4460 0.6689  3 Pr 2.39
9 O 0.2313 0.0406 0.3501  1 Ta 2.05
10 O 0.8093 0.6187 0.3501  1 Ta 2.05
11 O 0.2770 0.5540 0.3311  3 Pr 2.39
12 Ta 0.0000 0.0000 0.5000  6 O 2.05
13 Cs 0.0000 0.5000 0.0000  6 O 3.14-3.15
14 Cs 0.5000 0.5000 0.0000  6 O 3.14-3.15
15 Cs 0.0000 0.0000 0.0000  6 O 3.14-3.15



Entry 3:
CeGaBi2: optimized geometry, PBE.

relative energy among the computed polymorphs: 0.0000 eV per atom
formation enthalpy at 0 K: -0.452 eV per atom

Cell: 4.6397 4.8436 4.8436 Å, 90.00 90.00 90.00°
With the nearest neighbours (Å) after each atom.
Fractional positions:
1 Bi 0.0000 0.0000 0.5000  4 Ce 3.35, 4 Ga 3.35, 4 Bi 3.42
2 Bi 0.0000 0.5000 0.0000  4 Ce 3.35, 4 Ga 3.35, 4 Bi 3.42
3 Ce 0.5000 0.0000 0.0000  8 Bi 3.35, 4 Ga 3.42
4 Ga 0.5000 0.5000 0.5000  8 Bi 3.35, 4 Ce 3.42



Entry 4:
MnFe2W: optimized geometry, PBE.

relative energy among the computed polymorphs: 0.0788 eV per atom
formation enthalpy at 0 K: 0.121 eV per atom

Cell: 4.1042 2.5893 4.8801 Å, 78.29 90.00 90.00°
With the nearest neighbours (Å) after each atom.
Fractional positions:
1 Fe 0.0000 0.0008 0.0105  4 Fe 2.43-2.61, 2 Mn 2.51, 2 W 2.57
2 Fe 0.0000 0.4992 0.4895  4 Fe 2.43-2.61, 2 Mn 2.51, 2 W 2.57
3 W 0.5000 0.7500 0.7500  2 Mn 2.52, 4 Fe 2.57, 2 W 2.59
4 Mn 0.5000 0.2500 0.2500  4 Fe 2.51, 2 W 2.52, 2 Mn 2.59



Number 1: calculated density 7.12 g/cm3, final energy -69.1 eV/cell, magnetic moment 0.00 μB/cell. Number 2: calculated density 5.91 g/cm3, final energy -106.5 eV/cell, magnetic moment 0.00 μB/cell. Number 3: calculated density 9.58 g/cm3, final energy -18.5 eV/cell, magnetic moment 0.61 μB/cell. Number 4: calculated density 11.46 g/cm3, final energy -38.6 eV/cell, magnetic moment 5.56 μB/cell.